PBE+U UCuNiO5, optimized geometry; uncorrected energy = -7.09 eV per atom; crystal system = monoclinic
1.0
5.8142 -0.6420 -0.1651
-2.3113 5.3735 -0.1651
-1.6072 -2.1709 7.6430
U Cu Ni O
2 2 2 10
Cartesian
-0.8036 -1.0854 3.8215
0.0000 0.0000 0.0000
2.9553 0.6343 1.7456
-1.0596 1.9263 5.5671
-0.3603 3.0890 1.7456
2.2560 -0.5283 5.5671
-1.9278 4.2495 1.7456
3.8236 -1.6888 5.5671
4.6823 0.8438 0.8936
-2.7866 1.7168 6.4192
3.2591 -1.0786 2.5977
-1.3633 3.6393 4.7151
2.2105 1.8097 3.1385
-0.3148 0.7509 4.1743
1.6137 1.0036 0.3528
0.2820 1.5571 6.9600